DFT (SCAN) results for a PBEsol-optimized structure of SrHf2Co.

Cell lengths 4.7756, 4.7756, 4.7756 Å; angles 60.00, 60.00, 60.00 degrees
Last column: nearest neighbours and their distance in Å.
Sites, in units of the cell vectors:
Sr 0.5000 0.5000 0.5000  8 Hf 2.92
Hf 0.2500 0.2500 0.2500  4 Sr 2.92, 4 Co 2.92
Hf 0.7500 0.7500 0.7500  4 Co 2.92, 4 Sr 2.92
Co 0.0000 0.0000 0.0000  8 Hf 2.92

The uncorrected energy comes out at -1.485 Ha/atom.